[1]
This record from Alexandria describes a geometry-optimized Be2Zn3 structure. The functional is PBE.

* DFT total energy: -2.081 eV per atom
* space group: Fdd2 (43)
* energy relative to the elements: 0.17 eV per atom

Unit cell a=7.904 b=6.040 c=5.870 alpha=83.14 beta=49.36 gamma=47.51
Positions (direct):
Be: 0.407 0.521 0.153
Be: 0.919 0.153 0.521
Be: 0.729 0.843 0.331
Be: 0.097 0.331 0.843
Zn: 0.395 0.366 0.810
Zn: 0.429 0.810 0.366
Zn: 0.884 0.855 0.821
Zn: 0.440 0.821 0.855
Zn: 0.850 0.150 0.150
Zn: 0.100 0.400 0.400



[2]
This record from Alexandria describes a geometry-optimized BeZn3 structure. The functional is PBE.

* DFT total energy: -1.733 eV per atom
* space group: C2/m (12)
* energy relative to the elements: 0.15 eV per atom

Unit cell a=4.496 b=4.496 c=4.671 alpha=76.95 beta=76.95 gamma=35.47
Positions (direct):
Be: 0.000 0.000 0.000
Zn: 0.500 0.500 0.500
Zn: 0.737 0.737 0.767
Zn: 0.263 0.263 0.233



[3]
This record from Alexandria describes a geometry-optimized Be2Zn structure. The functional is PBE.

* DFT total energy: -2.416 eV per atom
* space group: Fm-3m (225)
* energy relative to the elements: 0.49 eV per atom

Unit cell a=5.298 b=5.298 c=5.298 alpha=90.00 beta=90.00 gamma=90.00
Positions (direct):
Be: 0.750 0.750 0.250
Be: 0.250 0.250 0.750
Be: 0.250 0.750 0.750
Be: 0.750 0.250 0.250
Be: 0.250 0.250 0.250
Be: 0.750 0.750 0.750
Be: 0.750 0.250 0.750
Be: 0.250 0.750 0.250
Zn: 0.000 0.000 0.000
Zn: 0.500 0.500 0.000
Zn: 0.500 0.000 0.500
Zn: 0.000 0.500 0.500